A plane-wave DFT calculation with PBE-GGA was carried out for a relaxed SiBiCl3 crystal.

Results
As for the uncorrected formation energy: 0.116 eV/atom. The total energy is -2.8531 eV per atom.

abc: 5.502 5.502 5.502
angles: 90.00 90.00 90.00
Fractional positions:
Cl 0.500 0.000 0.000
Cl 0.000 0.500 0.000
Bi 0.000 0.000 0.000
Cl 0.000 0.000 0.500
Si 0.500 0.500 0.500